TcSb2W | GGA-PBEsol | relaxed

abc: 4.6132 4.6132 3.2510
angles: 90.00 90.00 90.00
With the nearest neighbours (Å) after each atom.
Space group P4/mmm (No. 123)
Unique sites:
Tc (0.0000, 0.0000, 0.0000)  8 Sb 2.82
Sb (0.0000, 0.5000, 0.5000)  4 W 2.82, 4 Tc 2.82
W (0.5000, 0.5000, 0.0000)  8 Sb 2.82

Values from the calculation:
total energy	-32.788	eV per cell